No. 1
{"formula": "HgPd2C", "functional": "PBEsol", "state": "optimized geometry", "formation_energy_ev_per_atom": 1.20, "cell": [[4.340, 0.000, 0.000], [2.170, 3.758, 0.000], [2.170, 1.253, 3.543]], "species": ["Pd", "Pd", "Hg", "C"], "frac_coords": [[0.750, 0.750, 0.750], [0.250, 0.250, 0.250], [0.500, 0.500, 0.500], [0.000, 0.000, 0.000]]}

=====

No. 2
{"formula": "Re3HgC", "functional": "PBEsol", "state": "optimized geometry", "formation_energy_ev_per_atom": 4.83, "cell": [[-3.365, 2.071, -2.826], [0.208, -3.794, -3.028], [-3.498, -2.218, 2.539]], "species": ["Re", "Re", "Re", "C", "Hg"], "frac_coords": [[0.000, 0.000, 0.500], [0.000, 0.500, 0.000], [0.500, 0.000, 0.000], [0.500, 0.500, 0.500], [0.000, 0.000, 0.000]]}

=====

No. 3
{"formula": "Ti2HgRhC", "functional": "PBEsol", "state": "optimized geometry", "formation_energy_ev_per_atom": 0.69, "cell": [[3.768, 0.000, 0.000], [0.000, 4.849, 0.000], [0.000, 0.000, 4.849]], "species": ["Ti", "Ti", "Hg", "Rh", "C"], "frac_coords": [[0.000, 0.500, 0.000], [0.000, 0.000, 0.500], [0.500, 0.500, 0.500], [0.000, 0.000, 0.000], [0.500, 0.000, 0.000]]}

=====

No. 4
{"formula": "HgRu2CS", "functional": "PBEsol", "state": "optimized geometry", "formation_energy_uncorrected_mev_per_atom": 1999, "cell": [[4.236, 0.000, 0.000], [0.000, 4.236, 0.000], [0.000, 0.000, 4.897]], "species": ["S", "Ru", "Ru", "Hg", "C"], "frac_coords": [[0.000, 0.000, 0.000], [0.500, 0.000, 0.000], [0.000, 0.500, 0.000], [0.000, 0.000, 0.500], [0.500, 0.500, 0.500]]}

=====

No. 5
{"formula": "Hg2CS", "functional": "PBEsol", "state": "optimized geometry", "formation_energy_uncorrected_mev_per_atom": 1033, "cell": [[-1.503, -3.193, 4.484], [-3.544, -0.669, -5.295], [0.885, -4.728, -3.070]], "species": ["Hg", "Hg", "Hg", "Hg", "S", "S", "C", "C"], "frac_coords": [[0.561, 0.750, 0.375], [0.189, 0.750, 0.875], [0.375, 0.250, 0.189], [0.875, 0.250, 0.561], [0.750, 0.500, 0.750], [0.000, 0.000, 0.000], [0.500, 0.000, 0.500], [0.250, 0.500, 0.250]]}

=====

No. 6
{"formula": "SiHg2CS", "functional": "PBEsol", "state": "optimized geometry", "formation_energy_uncorrected_mev_per_atom": 908, "cell": [[-0.560, -1.577, 3.356], [4.678, -1.322, 0.159], [1.116, 4.210, 2.165]], "species": ["Si", "C", "S", "Hg", "Hg"], "frac_coords": [[0.500, 0.000, 0.000], [0.000, 0.000, 0.000], [0.500, 0.500, 0.500], [0.000, 0.500, 0.000], [0.000, 0.000, 0.500]]}

=====

No. 7
{"formula": "ScHg3C", "functional": "PBEsol", "state": "optimized geometry", "formation_energy_ev_per_atom": 0.84, "cell": [[-2.061, 2.192, -3.523], [1.039, -3.535, -2.808], [-4.017, -2.039, 1.081]], "species": ["Sc", "Hg", "Hg", "Hg", "C"], "frac_coords": [[0.500, 0.500, 0.500], [0.000, 0.500, 0.000], [0.000, 0.000, 0.500], [0.500, 0.000, 0.000], [0.000, 0.000, 0.000]]}

=====

No. 8
{"formula": "Sc3HgC", "functional": "PBEsol", "state": "optimized geometry", "polymorph_energy_ev_per_atom": 0.011, "formation_energy_ev_per_atom": -0.62, "cell": [[-0.765, 4.035, -1.802], [-3.848, 0.291, 2.286], [2.173, 1.936, 3.412]], "species": ["Sc", "Sc", "Sc", "C", "Hg"], "frac_coords": [[0.000, 0.000, 0.500], [0.000, 0.500, 0.000], [0.500, 0.000, 0.000], [0.000, 0.000, 0.000], [0.500, 0.500, 0.500]]}

=====

No. 9
{"formula": "Sc3HgC", "functional": "PBEsol", "state": "optimized geometry", "polymorph_energy_ev_per_atom": 0.000, "formation_energy_ev_per_atom": -0.63, "cell": [[-5.177, -3.509, -0.831], [5.699, -2.788, 0.218], [1.582, -3.517, 4.994]], "species": ["Sc", "Sc", "Sc", "Sc", "Sc", "Sc", "Hg", "Hg", "C", "C"], "frac_coords": [[0.286, 0.000, 0.786], [0.214, 0.000, 0.286], [0.250, 0.500, 0.750], [0.714, 0.000, 0.214], [0.786, 0.000, 0.714], [0.750, 0.500, 0.250], [0.750, 0.500, 0.750], [0.250, 0.500, 0.250], [0.500, 0.000, 0.500], [0.000, 0.000, 0.000]]}

=====

No. 10
{"formula": "SrHg2CSe", "functional": "PBEsol", "state": "optimized geometry", "formation_energy_uncorrected_mev_per_atom": 1425, "cell": [[-4.217, 2.028, -0.521], [-2.214, -5.222, -2.403], [-1.613, -1.907, 5.631]], "species": ["Sr", "Se", "Hg", "Hg", "C"], "frac_coords": [[0.000, 0.000, 0.000], [0.500, 0.500, 0.500], [0.000, 0.000, 0.500], [0.000, 0.500, 0.000], [0.500, 0.000, 0.000]]}

=====

No. 11
{"formula": "Si2HgC", "functional": "PBEsol", "state": "optimized geometry", "formation_energy_uncorrected_mev_per_atom": 430, "cell": [[5.315, 0.000, 0.000], [-2.658, 5.242, 0.010], [0.000, 2.686, 4.587]], "species": ["C", "C", "Si", "Si", "Si", "Si", "Hg", "Hg"], "frac_coords": [[0.500, 0.000, 0.500], [0.250, 0.500, 0.250], [0.875, 0.250, 0.531], [0.219, 0.750, 0.875], [0.531, 0.750, 0.375], [0.375, 0.250, 0.219], [0.750, 0.500, 0.750], [0.000, 0.000, 0.000]]}

=====

No. 12
{"formula": "Sn3HgC", "functional": "PBEsol", "state": "optimized geometry", "formation_energy_ev_per_atom": 0.75, "cell": [[4.774, 0.000, 0.000], [0.000, 4.774, 0.000], [0.000, 0.000, 4.774]], "species": ["Sn", "Sn", "Sn", "C", "Hg"], "frac_coords": [[0.000, 0.500, 0.000], [0.500, 0.000, 0.000], [0.000, 0.000, 0.500], [0.000, 0.000, 0.000], [0.500, 0.500, 0.500]]}